# PBE Tm2Si2AsP3, optimized geometry
# total energy	-5.582	eV per atom
# magnetization	0.0	Bohr magnetons per cell
# crystal system	monoclinic
# theoretical density	5.85	g/cm3
data_Tm2Si2AsP3
_symmetry_space_group_name_H-M 'C 1 2 1'
_symmetry_Int_Tables_number 5
_cell_length_a 8.9222
_cell_length_b 6.8823
_cell_length_c 6.5226
_cell_angle_alpha 90.00
_cell_angle_beta 127.16
_cell_angle_gamma 90.00
loop_
_symmetry_equiv_pos_as_xyz
'x,y,z'
'-x,y,-z'
'x+1/2,y+1/2,z'
'-x+1/2,y+1/2,-z'
loop_
_atom_site_label
_atom_site_type_symbol
_atom_site_fract_x
_atom_site_fract_y
_atom_site_fract_z
Tm1 Tm 0.1341 0.0000 0.3552
Si1 Si 0.1539 0.4796 0.8912
As1 As 0.0000 0.6678 0.5000
P1 P 0.0000 0.3057 0.0000
P2 P 0.2131 0.1918 0.7702

# PBE ErP, optimized geometry
# total energy	-6.262	eV per atom
# magnetization	0.0	Bohr magnetons per cell
# crystal system	hexagonal
# theoretical density	7.20	g/cm3
data_ErP
_symmetry_space_group_name_H-M 'P -6 m 2'
_symmetry_Int_Tables_number 187
_symmetry_space_group_name_Hall 'P -6 2'
_cell_length_a 3.8665
_cell_length_b 3.8665
_cell_length_c 3.5301
_cell_angle_alpha 90.00
_cell_angle_beta 90.00
_cell_angle_gamma 120.00
loop_
_atom_site_label
_atom_site_type_symbol
_atom_site_fract_x
_atom_site_fract_y
_atom_site_fract_z
Er1 Er 0.0000 0.0000 0.0000
P1 P 0.6667 0.3333 0.5000

# PBE ZnGeNO, optimized geometry
# total energy	-5.303	eV per atom
# crystal system	orthorhombic
# theoretical density	5.61	g/cm3
data_ZnGeNO
_symmetry_space_group_name_H-M 'P m c 21'
_symmetry_Int_Tables_number 26
_cell_length_a 3.5556
_cell_length_b 5.4467
_cell_length_c 5.1381
_cell_angle_alpha 90.00
_cell_angle_beta 90.00
_cell_angle_gamma 90.00
loop_
_symmetry_equiv_pos_as_xyz
'x,y,z'
'-x,-y,z+1/2'
'-x,y,z'
'x,-y,z+1/2'
loop_
_atom_site_label
_atom_site_type_symbol
_atom_site_fract_x
_atom_site_fract_y
_atom_site_fract_z
Zn1 Zn 0.0000 0.1906 0.0000
Ge1 Ge 0.5000 0.3186 0.5067
N1 N 0.5000 0.3468 0.8825
O1 O 0.0000 0.1838 0.4101

> Which formula does entry 1 have?

Tm2Si2AsP3

> Which value of total energy does entry 1 give?

-5.582 eV per atom

> total energy of number 1 (Tm2Si2AsP3)?

-5.582 eV per atom